Entry from Alexandria: a relaxed structure of KRbEu (PBE).

Results
* energy relative to the elements: 165 meV/atom
* crystal system: trigonal
* total moment: 7.6 Bohr magnetons per cell
* E above lowest polymorph: 0 meV/atom
* density of states at the Fermi level: 2.92 states/eV per cell
* uncorrected energy: -3.95 eV/atom

abc: 4.3749 4.3749 11.6418
angles: 90.00 90.00 120.00
Last column: magnetic moment on the atom in μB.
Fractional coordinates of all 3 atoms:
Rb (0.6667, 0.3333, 0.3218)  0.01
K (0.3333, 0.6667, 0.6833)  0.01
Eu (0.0000, 0.0000, 0.9948)  7.01